Computed, not measured: crystalline YGaBi2Au at its relaxed geometry at the PBE level of DFT.

Crystal system: tetragonal
DFT total energy: -3.8570 eV/atom

extended XYZ file:
```
5
Lattice="5.545 0.000 0.000 0.000 5.545 0.000 0.000 0.000 5.559" Properties=species:S:1:pos:R:3 pbc="T T T"
Y 0.000 0.000 0.000
Ga 2.773 2.773 0.000
Bi 0.000 2.773 2.779
Bi 2.773 0.000 2.779
Au 0.000 0.000 2.779
```

=====

Computed, not measured: crystalline Gd2BiAu at its relaxed geometry at the PBE level of DFT.

Energy above the most stable polymorph in this dataset: 0.000 eV per atom
Crystal system: tetragonal

extended XYZ file:
```
4
Lattice="5.172 0.000 0.000 0.000 5.172 0.000 0.000 0.000 3.994" Properties=species:S:1:pos:R:3 pbc="T T T"
Gd 0.000 2.586 0.000
Gd 2.586 0.000 0.000
Bi 0.000 0.000 1.997
Au 2.586 2.586 1.997
```